(A)
Li3AcHg: relaxed, PBE.

a b c (Å): 6.936 6.936 6.057
angles (deg): 90.00 90.00 120.00
Fractional coordinates of all 10 atoms:
Li1 0.189 0.378 0.250
Li2 0.189 0.811 0.250
Li3 0.378 0.189 0.750
Li4 0.622 0.811 0.250
Li5 0.811 0.189 0.750
Li6 0.811 0.622 0.750
Ac1 0.333 0.667 0.750
Ac2 0.667 0.333 0.250
Hg1 0.000 0.000 0.000
Hg2 0.000 0.000 0.500

Summary:
Spin magnetization ... 1.4 μB/cell
Volume ... 252.4 Å³/cell
D(E_F) ... 0.964 states/eV per atom

(B)
Li3AcHg: relaxed, PBE.

a b c (Å): 5.067 5.067 5.067
angles (deg): 90.00 90.00 90.00
Fractional coordinates of all 5 atoms:
Li1 0.000 0.000 0.500
Li2 0.000 0.500 0.000
Li3 0.500 0.000 0.000
Ac1 0.500 0.500 0.500
Hg1 0.000 0.000 0.000

Summary:
Spin magnetization ... 0.9 μB/cell
Volume ... 130.1 Å³/cell
D(E_F) ... 1.003 states/eV per atom

(C)
Li3AcHg: relaxed, PBE.

a b c (Å): 6.298 6.111 6.594
angles (deg): 90.00 92.80 90.00
Fractional coordinates of all 10 atoms:
Li1 0.092 0.250 0.387
Li2 0.351 0.516 0.677
Li3 0.351 0.984 0.677
Li4 0.649 0.016 0.323
Li5 0.649 0.484 0.323
Li6 0.908 0.750 0.613
Ac1 0.165 0.750 0.153
Ac2 0.835 0.250 0.847
Hg1 0.349 0.250 0.046
Hg2 0.651 0.750 0.954

Summary:
Spin magnetization ... 0.0 μB/cell
Volume ... 253.5 Å³/cell
D(E_F) ... 0.501 states/eV per atom

Least stable of them? (B).

(A)
Li3AcHg3: relaxed, PBE.

a b c (Å): 9.162 4.669 9.177
angles (deg): 90.00 119.57 90.00
Fractional coordinates of all 14 atoms:
Li1 0.002 0.250 0.216
Li2 0.216 0.250 0.995
Li3 0.217 0.750 0.214
Li4 0.783 0.250 0.786
Li5 0.784 0.750 0.005
Li6 0.998 0.750 0.784
Ac1 0.333 0.750 0.667
Ac2 0.667 0.250 0.333
Hg1 0.056 0.250 0.649
Hg2 0.348 0.250 0.406
Hg3 0.409 0.750 0.058
Hg4 0.591 0.250 0.942
Hg5 0.652 0.750 0.594
Hg6 0.944 0.750 0.351

Summary:
Spin magnetization ... 0.0 μB/cell
Volume ... 341.5 Å³/cell
D(E_F) ... 0.446 states/eV per atom

(B)
Li3AcHg3: relaxed, PBE.

a b c (Å): 7.108 7.108 7.108
angles (deg): 90.00 90.00 90.00
Fractional coordinates of all 14 atoms:
Li1 0.000 0.250 0.500
Li2 0.000 0.750 0.500
Li3 0.250 0.500 0.000
Li4 0.500 0.000 0.250
Li5 0.500 0.000 0.750
Li6 0.750 0.500 0.000
Ac1 0.000 0.000 0.000
Ac2 0.500 0.500 0.500
Hg1 0.000 0.500 0.250
Hg2 0.000 0.500 0.750
Hg3 0.250 0.000 0.500
Hg4 0.500 0.250 0.000
Hg5 0.500 0.750 0.000
Hg6 0.750 0.000 0.500

Summary:
Spin magnetization ... 0.0 μB/cell
Volume ... 359.2 Å³/cell
D(E_F) ... 0.854 states/eV per atom

Least stable of them? (B).

(A)
Li2AcHg: relaxed, PBE.

a b c (Å): 4.618 4.618 5.451
angles (deg): 90.00 90.00 90.00
Fractional coordinates of all 4 atoms:
Li1 0.000 0.500 0.000
Li2 0.500 0.000 0.000
Ac1 0.000 0.000 0.500
Hg1 0.500 0.500 0.500

Summary:
Spin magnetization ... 1.0 μB/cell
Volume ... 116.3 Å³/cell
D(E_F) ... 1.173 states/eV per atom

(B)
Li2AcHg: relaxed, PBE.

a b c (Å): 4.805 6.033 7.178
angles (deg): 90.00 90.00 90.00
Fractional coordinates of all 8 atoms:
Li1 0.250 0.018 0.104
Li2 0.250 0.482 0.104
Li3 0.750 0.518 0.896
Li4 0.750 0.982 0.896
Ac1 0.250 0.250 0.584
Ac2 0.750 0.750 0.416
Hg1 0.250 0.750 0.782
Hg2 0.750 0.250 0.218

Summary:
Spin magnetization ... 0.0 μB/cell
Volume ... 208.1 Å³/cell
D(E_F) ... 0.719 states/eV per atom

Least stable of them? (A).

(A)
Li2AcHg: relaxed, PBE.

a b c (Å): 3.716 3.716 7.418
angles (deg): 90.00 90.00 90.00
Fractional coordinates of all 4 atoms:
Li1 0.000 0.000 0.178
Li2 0.000 0.000 0.822
Ac1 0.500 0.500 0.500
Hg1 0.500 0.500 0.000

Summary:
Spin magnetization ... 0.0 μB/cell
Volume ... 102.4 Å³/cell
D(E_F) ... 0.746 states/eV per atom

(B)
Li2AcHg: relaxed, PBE.

a b c (Å): 5.999 5.999 5.999
angles (deg): 45.95 45.95 45.95
Fractional coordinates of all 4 atoms:
Li1 0.205 0.205 0.205
Li2 0.795 0.795 0.795
Ac1 0.000 0.000 0.000
Hg1 0.500 0.500 0.500

Summary:
Spin magnetization ... 0.0 μB/cell
Volume ... 101.7 Å³/cell
D(E_F) ... 0.380 states/eV per atom

Least stable of them? (A).